Material: TbZr2Rh
Method: DFT, PBE
State: optimized geometry

Results
SG: No. 160
Density of states at the Fermi level in states/eV per cell: 7.47
Spin magnetization in μB per cell: 0.0
E in eV per atom: -7.43

a = 4.4010 Å, b = 4.4010 Å, c = 17.7097 Å
α = 90.00°, β = 90.00°, γ = 120.00°
Atoms (fractional coordinates):
Tb  0.0000  0.0000  0.0000
Tb  0.3333  0.6667  0.6667
Tb  0.6667  0.3333  0.3333
Zr  0.0000  0.0000  0.5597
Zr  0.0000  0.0000  0.7871
Zr  0.3333  0.6667  0.2263
Zr  0.3333  0.6667  0.4538
Zr  0.6667  0.3333  0.1204
Zr  0.6667  0.3333  0.8930
Rh  0.0000  0.0000  0.1824
Rh  0.3333  0.6667  0.8491
Rh  0.6667  0.3333  0.5158